VASP calculation (PBE-GGA) on a relaxed SbPb2Cl crystal.

The calculation puts the uncorrected formation energy at -0.17 eV per atom. Its energy above the most stable polymorph in this dataset is 257 meV per atom. Its space group is No. 99. The energy is -3.513 eV per atom. The magnetization comes out at 0.0 μB per cell.

```
SbPb2Cl
1.0
3.750 0.000 0.000
0.000 3.750 0.000
0.000 0.000 8.630
Cl Pb Sb
1 2 1
direct
0.500 0.500 0.796
0.000 0.000 0.986
0.500 0.500 0.256
0.000 0.000 0.461
```